1.
## CuPbSe2 (PBE)

Data for a geometry-optimized CuPbSe2 structure.

## Properties
The symmetry is P4mm (99). The final energy is -3.82 eV/atom. As for the crystal system: tetragonal. The calculation puts the total magnetization at 0.00 μB/f.u. For the formation energy (no corrections), the calculation gives -126.4 meV/atom.

Lattice parameters (Å, degrees): 3.674 3.674 7.455 90.00 90.00 90.00
Fractional positions:
Cu 0.000 0.000 0.000
Pb 0.500 0.500 0.484
Se 0.000 0.000 0.668
Se 0.500 0.500 0.064



2.
## Cs2SmAlTe4 (PBE)

Data for a geometry-optimized Cs2SmAlTe4 structure.

## Properties
The symmetry is Fddd (70). The final energy is -3.86 eV/atom. As for the crystal system: orthorhombic. The calculation puts the total magnetization at 0.00 μB/f.u. For the formation energy (no corrections), the calculation gives -1022.5 meV/atom.

Lattice parameters (Å, degrees): 16.266 14.573 8.711 84.65 63.13 32.22
Fractional positions:
Cs 0.057 0.057 0.693
Cs 0.307 0.307 0.943
Cs 0.693 0.693 0.057
Cs 0.943 0.943 0.307
Sm 0.125 0.125 0.125
Sm 0.875 0.875 0.875
Al 0.375 0.375 0.375
Al 0.625 0.625 0.625
Te 0.004 0.637 0.544
Te 0.315 0.544 0.637
Te 0.363 0.996 0.685
Te 0.456 0.685 0.996
Te 0.544 0.315 0.004
Te 0.637 0.004 0.315
Te 0.685 0.456 0.363
Te 0.996 0.363 0.456



3.
## LaMgAs2 (PBE)

Data for a geometry-optimized LaMgAs2 structure.

## Properties
The symmetry is Pmmm (47). The final energy is -4.62 eV/atom. As for the crystal system: orthorhombic. The calculation puts the total magnetization at 0.00 μB/f.u.

Lattice parameters (Å, degrees): 3.705 3.783 6.472 90.00 90.00 90.00
Fractional positions:
La 0.000 0.000 0.000
Mg 0.000 0.000 0.500
As 0.500 0.500 0.282
As 0.500 0.500 0.718



4.
## Y2ZnGe4Ir3 (PBE)

Data for a geometry-optimized Y2ZnGe4Ir3 structure.

## Properties
The symmetry is P-4m2 (115). The final energy is -6.57 eV/atom. As for the crystal system: tetragonal. The calculation puts the total magnetization at 0.00 μB/f.u.

Lattice parameters (Å, degrees): 4.212 4.212 10.356 90.00 90.00 90.00
Fractional positions:
Y 0.000 0.500 0.242
Y 0.500 0.000 0.758
Zn 0.000 0.000 0.500
Ge 0.000 0.000 0.000
Ge 0.000 0.500 0.639
Ge 0.500 0.000 0.361
Ge 0.500 0.500 0.000
Ir 0.000 0.500 0.873
Ir 0.500 0.000 0.127
Ir 0.500 0.500 0.500



5.
## HfBiSe2N (PBE)

Data for a geometry-optimized HfBiSe2N structure.

## Properties
The symmetry is P4/mmm (123). The final energy is -6.10 eV/atom. As for the crystal system: tetragonal. The calculation puts the total magnetization at 0.00 μB/f.u. The energy above the most stable polymorph in this dataset comes out at 0 meV per atom. For the formation energy (no corrections), the calculation gives -278.0 meV/atom.

Lattice parameters (Å, degrees): 5.358 5.358 3.988 90.00 90.00 90.00
Fractional positions:
Hf 0.000 0.000 0.000
Bi 0.500 0.500 0.500
Se 0.000 0.500 0.000
Se 0.500 0.000 0.000
N 0.000 0.000 0.500



6.
## PuPaIr (PBE)

Data for a geometry-optimized PuPaIr structure.

## Properties
The symmetry is F-43m (216). The final energy is -11.13 eV/atom. As for the crystal system: cubic. The calculation puts the total magnetization at 6.69 μB/f.u. The energy above the most stable polymorph in this dataset comes out at 236 meV per atom.

Lattice parameters (Å, degrees): 4.770 4.770 4.770 60.00 60.00 60.00
Fractional positions:
Pu 0.000 0.000 0.000
Pa 0.500 0.500 0.500
Ir 0.750 0.750 0.750



7.
## AsRhSe2 (PBE)

Data for a geometry-optimized AsRhSe2 structure.

## Properties
The symmetry is P4mm (99). The final energy is -4.68 eV/atom. As for the crystal system: tetragonal. The calculation puts the total magnetization at 0.00 μB/f.u. For the formation energy (no corrections), the calculation gives 59.7 meV/atom.

Lattice parameters (Å, degrees): 2.865 2.865 10.354 90.00 90.00 90.00
Fractional positions:
As 0.000 0.000 0.000
Rh 0.500 0.500 0.156
Se 0.000 0.000 0.338
Se 0.500 0.500 0.679



8.
## CaTiVIr2 (PBE)

Data for a geometry-optimized CaTiVIr2 structure.

## Properties
The symmetry is I-4m2 (119). The final energy is -7.91 eV/atom. As for the crystal system: tetragonal. The calculation puts the total magnetization at 0.00 μB/f.u.

Lattice parameters (Å, degrees): 6.054 6.054 6.054 138.86 138.86 59.59
Fractional positions:
Ca 0.000 0.000 0.000
Ti 0.250 0.750 0.500
V 0.750 0.250 0.500
Ir 0.376 0.376 0.000
Ir 0.624 0.624 0.000